# 1
VASP calculation (PBE) on a geometry-optimized RbNbTeI2 structure.

Cell and atoms, written as CIF:
```
data_RbNbTeI2
_chemical_formula_sum 'Rb1 Nb1 Te1 I2'
_symmetry_space_group_name_H-M 'P 1'
_symmetry_Int_Tables_number 1
_cell_length_a 5.955
_cell_length_b 5.955
_cell_length_c 5.444
_cell_angle_alpha 90.00
_cell_angle_beta 90.00
_cell_angle_gamma 90.00
loop_
_symmetry_equiv_pos_as_xyz
'x,y,z'
loop_
_atom_site_label
_atom_site_type_symbol
_atom_site_fract_x
_atom_site_fract_y
_atom_site_fract_z
I1 I 0.000 0.500 0.000
I2 I 0.500 0.000 0.000
Nb1 Nb 0.000 0.000 0.000
Te1 Te 0.000 0.000 0.500
Rb1 Rb 0.500 0.500 0.500
```

Values from the calculation:
- Space-group type: No. 123
- Distance to the lowest polymorph of the same formula: 0.00 kJ/mol of atoms

=====

# 2
VASP calculation (PBE) on a geometry-optimized PmLuInPt structure.

Cell and atoms, written as CIF:
```
data_PmLuInPt
_chemical_formula_sum 'Pm1 Lu1 In1 Pt1'
_symmetry_space_group_name_H-M 'P 1'
_symmetry_Int_Tables_number 1
_cell_length_a 5.148
_cell_length_b 5.148
_cell_length_c 5.148
_cell_angle_alpha 60.00
_cell_angle_beta 60.00
_cell_angle_gamma 60.00
loop_
_symmetry_equiv_pos_as_xyz
'x,y,z'
loop_
_atom_site_label
_atom_site_type_symbol
_atom_site_fract_x
_atom_site_fract_y
_atom_site_fract_z
Lu1 Lu 0.500 0.500 0.500
In1 In 0.250 0.250 0.250
Pt1 Pt 0.750 0.750 0.750
Pm1 Pm 0.000 0.000 0.000
```

Values from the calculation:
- Space-group type: No. 216
- ΔH_f (0 K): -0.71 eV per atom

=====

# 3
VASP calculation (PBE) on a geometry-optimized Pr2Nd3Tl4 structure.

Cell and atoms, written as CIF:
```
data_Pr2Nd3Tl4
_chemical_formula_sum 'Pr4 Nd6 Tl8'
_symmetry_space_group_name_H-M 'P 1'
_symmetry_Int_Tables_number 1
_cell_length_a 7.449
_cell_length_b 9.616
_cell_length_c 9.035
_cell_angle_alpha 90.00
_cell_angle_beta 114.35
_cell_angle_gamma 90.00
loop_
_symmetry_equiv_pos_as_xyz
'x,y,z'
loop_
_atom_site_label
_atom_site_type_symbol
_atom_site_fract_x
_atom_site_fract_y
_atom_site_fract_z
Pr1 Pr 0.107 0.569 0.214
Pr2 Pr 0.893 0.431 0.786
Pr3 Pr 0.393 0.069 0.786
Pr4 Pr 0.607 0.931 0.214
Nd1 Nd 0.000 0.000 0.000
Nd2 Nd 0.500 0.500 0.000
Nd3 Nd 0.531 0.750 0.563
Nd4 Nd 0.969 0.250 0.437
Nd5 Nd 0.469 0.250 0.437
Nd6 Nd 0.031 0.750 0.563
Tl1 Tl 0.725 0.750 0.951
Tl2 Tl 0.775 0.250 0.049
Tl3 Tl 0.275 0.250 0.049
Tl4 Tl 0.225 0.750 0.951
Tl5 Tl 0.190 0.969 0.379
Tl6 Tl 0.810 0.031 0.621
Tl7 Tl 0.310 0.469 0.621
Tl8 Tl 0.690 0.531 0.379
```

Values from the calculation:
- Space-group type: No. 64
- ΔH_f (0 K): -0.24 eV per atom
- Distance to the lowest polymorph of the same formula: 7.76 kJ/mol of atoms

=====

# 4
VASP calculation (PBE) on a geometry-optimized CdInNi2 structure.

Cell and atoms, written as CIF:
```
data_CdInNi2
_chemical_formula_sum 'Cd1 In1 Ni2'
_symmetry_space_group_name_H-M 'P 1'
_symmetry_Int_Tables_number 1
_cell_length_a 5.123
_cell_length_b 5.123
_cell_length_c 4.577
_cell_angle_alpha 73.50
_cell_angle_beta 73.50
_cell_angle_gamma 33.35
loop_
_symmetry_equiv_pos_as_xyz
'x,y,z'
loop_
_atom_site_label
_atom_site_type_symbol
_atom_site_fract_x
_atom_site_fract_y
_atom_site_fract_z
Cd1 Cd 0.482 0.482 0.557
In1 In 0.269 0.269 0.192
Ni1 Ni 0.021 0.021 0.030
Ni2 Ni 0.727 0.727 0.721
```

Values from the calculation:
- Space-group type: No. 8
- ΔH_f (0 K): 0.03 eV per atom

=====

# 5
VASP calculation (PBE) on a geometry-optimized Sm3SiAgS7 structure.

Cell and atoms, written as CIF:
```
data_Sm3SiAgS7
_chemical_formula_sum 'Sm6 Si2 Ag2 S14'
_symmetry_space_group_name_H-M 'P 1'
_symmetry_Int_Tables_number 1
_cell_length_a 10.226
_cell_length_b 10.226
_cell_length_c 5.741
_cell_angle_alpha 90.00
_cell_angle_beta 90.00
_cell_angle_gamma 120.00
loop_
_symmetry_equiv_pos_as_xyz
'x,y,z'
loop_
_atom_site_label
_atom_site_type_symbol
_atom_site_fract_x
_atom_site_fract_y
_atom_site_fract_z
Sm1 Sm 0.125 0.360 0.249
Sm2 Sm 0.875 0.640 0.749
Sm3 Sm 0.640 0.765 0.249
Sm4 Sm 0.235 0.875 0.249
Sm5 Sm 0.765 0.125 0.749
Sm6 Sm 0.360 0.235 0.749
Si1 Si 0.333 0.667 0.660
Si2 Si 0.667 0.333 0.160
Ag1 Ag 0.000 0.000 0.305
Ag2 Ag 0.000 0.000 0.805
S1 S 0.333 0.667 0.028
S2 S 0.667 0.333 0.528
S3 S 0.410 0.524 0.511
S4 S 0.590 0.476 0.011
S5 S 0.476 0.887 0.511
S6 S 0.113 0.590 0.511
S7 S 0.887 0.410 0.011
S8 S 0.524 0.113 0.011
S9 S 0.094 0.271 0.767
S10 S 0.906 0.729 0.267
S11 S 0.729 0.823 0.767
S12 S 0.177 0.906 0.767
S13 S 0.823 0.094 0.267
S14 S 0.271 0.177 0.267
```

Values from the calculation:
- Space-group type: No. 173
- Total DFT energy (no corrections): -5.7705 eV per atom

=====

# 6
VASP calculation (PBE) on a geometry-optimized KMg2InCl8 structure.

Cell and atoms, written as CIF:
```
data_KMg2InCl8
_chemical_formula_sum 'K1 Mg2 In1 Cl8'
_symmetry_space_group_name_H-M 'P 1'
_symmetry_Int_Tables_number 1
_cell_length_a 6.328
_cell_length_b 6.068
_cell_length_c 8.056
_cell_angle_alpha 88.47
_cell_angle_beta 88.72
_cell_angle_gamma 88.17
loop_
_symmetry_equiv_pos_as_xyz
'x,y,z'
loop_
_atom_site_label
_atom_site_type_symbol
_atom_site_fract_x
_atom_site_fract_y
_atom_site_fract_z
K1 K 0.000 0.000 0.500
Mg1 Mg 0.495 0.491 0.748
Mg2 Mg 0.505 0.509 0.252
In1 In 0.000 0.000 0.000
Cl1 Cl 0.169 0.747 0.219
Cl2 Cl 0.666 0.733 0.002
Cl3 Cl 0.820 0.240 0.216
Cl4 Cl 0.831 0.253 0.781
Cl5 Cl 0.334 0.267 0.998
Cl6 Cl 0.180 0.760 0.784
Cl7 Cl 0.633 0.710 0.499
Cl8 Cl 0.367 0.290 0.501
```

Values from the calculation:
- Space-group type: No. 2
- Total DFT energy (no corrections): -3.3434 eV per atom

=====

# 7
VASP calculation (PBE) on a geometry-optimized Pm8SnS6 structure.

Cell and atoms, written as CIF:
```
data_Pm8SnS6
_chemical_formula_sum 'Pm8 Sn1 S6'
_symmetry_space_group_name_H-M 'P 1'
_symmetry_Int_Tables_number 1
_cell_length_a 4.070
_cell_length_b 10.513
_cell_length_c 10.513
_cell_angle_alpha 120.00
_cell_angle_beta 90.00
_cell_angle_gamma 90.00
loop_
_symmetry_equiv_pos_as_xyz
'x,y,z'
loop_
_atom_site_label
_atom_site_type_symbol
_atom_site_fract_x
_atom_site_fract_y
_atom_site_fract_z
Pm1 Pm 0.748 0.966 0.302
Pm2 Pm 0.748 0.698 0.663
Pm3 Pm 0.748 0.337 0.034
Pm4 Pm 0.252 0.034 0.698
Pm5 Pm 0.252 0.302 0.337
Pm6 Pm 0.252 0.663 0.966
Pm7 Pm 0.749 0.333 0.667
Pm8 Pm 0.251 0.667 0.333
Sn1 Sn 0.500 0.000 0.000
S1 S 0.750 0.654 0.137
S2 S 0.750 0.863 0.517
S3 S 0.750 0.483 0.346
S4 S 0.250 0.346 0.863
S5 S 0.250 0.137 0.483
S6 S 0.250 0.517 0.654
```

Values from the calculation:
- Space-group type: No. 147
- Total DFT energy (no corrections): -6.0385 eV per atom

=====

# 8
VASP calculation (PBE) on a geometry-optimized MnCoNi4 structure.

Cell and atoms, written as CIF:
```
data_MnCoNi4
_chemical_formula_sum 'Mn1 Co1 Ni4'
_symmetry_space_group_name_H-M 'P 1'
_symmetry_Int_Tables_number 1
_cell_length_a 4.640
_cell_length_b 4.640
_cell_length_c 4.640
_cell_angle_alpha 60.00
_cell_angle_beta 60.00
_cell_angle_gamma 60.00
loop_
_symmetry_equiv_pos_as_xyz
'x,y,z'
loop_
_atom_site_label
_atom_site_type_symbol
_atom_site_fract_x
_atom_site_fract_y
_atom_site_fract_z
Mn1 Mn 0.000 0.000 0.000
Co1 Co 0.750 0.750 0.750
Ni1 Ni 0.874 0.375 0.375
Ni2 Ni 0.375 0.375 0.874
Ni3 Ni 0.375 0.874 0.375
Ni4 Ni 0.375 0.375 0.375
```

Values from the calculation:
- Space-group type: No. 216
- ΔH_f (0 K): 0.12 eV per atom
- Distance to the lowest polymorph of the same formula: 12.61 kJ/mol of atoms

=====

What is the formula in the fifth record?
Sm3SiAgS7